1.
Compound: RbLaMo2
Source: the Alexandria database
Functional: PBE
Structure: relaxed

Properties
SG: Fm-3m, No. 225
D(E_F), states/eV/cell: 5.03

The structure in POSCAR format:
```
RbLaMo2
1.0
1.041 -2.656 4.505
-3.737 -3.115 2.182
0.558 -5.302 -0.100
Mo La Rb
2 1 1
direct
0.750 0.750 0.750 Mo
0.250 0.250 0.250 Mo
0.500 0.500 0.500 La
0.000 0.000 0.000 Rb
```

2.
Compound: RbLaMo2
Source: the Alexandria database
Functional: PBE
Structure: relaxed

Properties
SG: I-42d, No. 122
D(E_F), states/eV/cell: 7.61

The structure in POSCAR format:
```
RbLaMo2
1.0
-2.955 1.976 -3.016
2.680 -1.406 -3.546
-5.715 -8.920 -3.848
Mo La Rb
4 2 2
direct
0.375 0.033 0.750 Mo
0.875 0.217 0.750 Mo
0.783 0.625 0.250 Mo
0.967 0.125 0.250 Mo
0.750 0.250 0.500 La
0.000 0.000 0.000 La
0.500 0.500 0.000 Rb
0.250 0.750 0.500 Rb
```

Going by the computed energies, the most stable comes first: 2, 1.

1.
Compound: RbLaMo3
Source: the Alexandria database
Functional: PBE
Structure: relaxed

Properties
SG: Pm-3m, No. 221
D(E_F), states/eV/cell: 7.95

The structure in POSCAR format:
```
RbLaMo3
1.0
5.021 0.000 0.000
0.000 5.021 0.000
0.000 0.000 5.021
Mo La Rb
3 1 1
direct
0.000 0.500 0.000 Mo
0.500 0.000 0.000 Mo
0.000 0.000 0.500 Mo
0.000 0.000 0.000 La
0.500 0.500 0.500 Rb
```

2.
Compound: RbLaMo3
Source: the Alexandria database
Functional: PBE
Structure: relaxed

Properties
SG: Pm-3m, No. 221
D(E_F), states/eV/cell: 6.87

The structure in POSCAR format:
```
RbLaMo3
1.0
-2.508 1.302 -3.987
-1.493 -4.618 -0.569
-3.919 0.926 2.768
Mo Rb La
3 1 1
direct
0.500 0.000 0.000 Mo
0.000 0.000 0.500 Mo
0.000 0.500 0.000 Mo
0.000 0.000 0.000 Rb
0.500 0.500 0.500 La
```

Going by the computed energies, the most stable comes first: 1, 2.

1.
Compound: LaMo2Rh
Source: the Alexandria database
Functional: PBE
Structure: relaxed

Properties
SG: C2/m, No. 12
D(E_F), states/eV/cell: 4.33

The structure in POSCAR format:
```
LaMo2Rh
1.0
5.445 0.007 -0.012
4.542 3.003 -0.012
0.918 0.277 4.932
Mo La Rh
2 1 1
direct
0.029 0.029 0.916 Mo
0.471 0.471 0.584 Mo
0.250 0.250 0.250 La
0.750 0.750 0.750 Rh
```

2.
Compound: LaMo2Rh
Source: the Alexandria database
Functional: PBE
Structure: relaxed

Properties
SG: F-43m, No. 216
D(E_F), states/eV/cell: 5.09

The structure in POSCAR format:
```
LaMo2Rh
1.0
-0.979 -3.024 3.483
-0.034 -4.638 -0.845
3.404 -2.743 1.766
Rh Mo La
1 2 1
direct
0.250 0.250 0.250 Rh
0.750 0.750 0.750 Mo
0.000 0.000 0.000 Mo
0.500 0.500 0.500 La
```

3.
Compound: LaMo2Rh
Source: the Alexandria database
Functional: PBE
Structure: relaxed

Properties
SG: I4/mmm, No. 139
D(E_F), states/eV/cell: 4.05

The structure in POSCAR format:
```
LaMo2Rh
1.0
5.816 0.002 0.000
3.196 4.859 0.000
-4.506 -2.430 2.760
La Mo Rh
1 2 1
direct
0.750 0.250 0.500 La
0.000 0.000 0.000 Mo
0.500 0.500 0.000 Mo
0.250 0.750 0.500 Rh
```

Going by the computed energies, the most stable comes first: 1, 2, 3.

1.
Compound: LaMo2Rh
Source: the Alexandria database
Functional: PBE
Structure: relaxed

Properties
SG: Pm, No. 6
D(E_F), states/eV/cell: 3.02

The structure in POSCAR format:
```
LaMo2Rh
1.0
-0.232 2.042 -2.482
-3.157 -0.502 -0.118
-3.692 5.267 4.679
Mo La Rh
2 1 1
direct
0.000 0.954 0.056 Mo
0.500 0.214 0.242 Mo
0.500 0.769 0.747 La
0.000 0.564 0.454 Rh
```

2.
Compound: LaMo2Rh
Source: the Alexandria database
Functional: PBE
Structure: relaxed

Properties
SG: I-42d, No. 122
D(E_F), states/eV/cell: 5.78

The structure in POSCAR format:
```
LaMo2Rh
1.0
-0.872 -0.500 -3.740
3.484 -1.580 -0.601
-2.744 -10.824 0.082
Rh Mo La
2 4 2
direct
0.250 0.750 0.500 Rh
0.500 0.500 0.000 Rh
0.174 0.625 0.250 Mo
0.875 0.826 0.750 Mo
0.576 0.125 0.250 Mo
0.375 0.424 0.750 Mo
0.750 0.250 0.500 La
0.000 0.000 0.000 La
```

3.
Compound: LaMo2Rh
Source: the Alexandria database
Functional: PBE
Structure: relaxed

Properties
SG: Cm, No. 8
D(E_F), states/eV/cell: 3.81

The structure in POSCAR format:
```
LaMo2Rh
1.0
-1.810 4.572 -0.313
-3.991 2.659 1.128
1.039 2.589 5.009
Rh La Mo
1 1 2
direct
0.479 0.479 0.569 Rh
0.244 0.244 0.260 La
0.745 0.745 0.757 Mo
0.033 0.033 0.913 Mo
```

Going by the computed energies, the most stable comes first: 1, 3, 2.

1.
Compound: LaMo2Rh
Source: the Alexandria database
Functional: PBE
Structure: relaxed

Properties
SG: P4/mmm, No. 123
D(E_F), states/eV/cell: 5.74

The structure in POSCAR format:
```
LaMo2Rh
1.0
-2.465 1.725 3.696
-4.069 -1.350 -2.083
0.195 -2.822 1.447
Mo Rh La
2 1 1
direct
0.000 0.000 0.000 Mo
0.500 0.500 0.000 Mo
0.500 0.000 0.500 Rh
0.000 0.500 0.500 La
```

2.
Compound: LaMo2Rh
Source: the Alexandria database
Functional: PBE
Structure: relaxed

Properties
SG: R3m, No. 160
D(E_F), states/eV/cell: 5.58

The structure in POSCAR format:
```
LaMo2Rh
1.0
-3.785 3.709 7.411
-6.066 1.681 6.587
-3.623 0.689 8.331
Mo La Rh
2 1 1
direct
0.986 0.986 0.986 Mo
0.252 0.252 0.252 Mo
0.752 0.752 0.752 La
0.511 0.511 0.511 Rh
```

3.
Compound: LaMo2Rh
Source: the Alexandria database
Functional: PBE
Structure: relaxed

Properties
SG: Cmmm, No. 65
D(E_F), states/eV/cell: 3.70

The structure in POSCAR format:
```
LaMo2Rh
1.0
5.627 -0.002 0.000
-3.115 4.686 0.000
0.000 0.000 2.847
Rh Mo La
1 2 1
direct
0.500 0.000 0.500 Rh
0.500 0.500 0.000 Mo
0.000 0.000 0.000 Mo
0.000 0.500 0.500 La
```

Going by the computed energies, the most stable comes first: 2, 3, 1.

1.
Compound: LaMo2Rh
Source: the Alexandria database
Functional: PBE
Structure: relaxed

Properties
SG: Fm-3m, No. 225
D(E_F), states/eV/cell: 4.60

The structure in POSCAR format:
```
LaMo2Rh
1.0
4.087 -2.038 -0.881
0.202 -4.590 -0.722
0.908 -1.647 -4.254
La Rh Mo
1 1 2
direct
0.500 0.500 0.500 La
0.000 0.000 0.000 Rh
0.750 0.750 0.750 Mo
0.250 0.250 0.250 Mo
```

2.
Compound: LaMo2Rh
Source: the Alexandria database
Functional: PBE
Structure: relaxed

Properties
SG: Immm, No. 71
D(E_F), states/eV/cell: 4.48

The structure in POSCAR format:
```
LaMo2Rh
1.0
-2.824 0.533 -5.408
-5.283 -2.658 -1.592
3.253 3.716 3.622
Rh Mo La
1 2 1
direct
0.750 0.250 0.500 Rh
0.525 0.525 0.000 Mo
0.975 0.975 0.000 Mo
0.250 0.750 0.500 La
```

3.
Compound: LaMo2Rh
Source: the Alexandria database
Functional: PBE
Structure: relaxed

Properties
SG: Cmm2, No. 35
D(E_F), states/eV/cell: 3.40

The structure in POSCAR format:
```
LaMo2Rh
1.0
2.955 0.005 0.000
-1.022 2.772 0.000
0.000 0.000 9.041
Mo Rh La
2 1 1
direct
0.000 0.000 0.036 Mo
0.500 0.500 0.251 Mo
0.000 0.000 0.473 Rh
0.500 0.500 0.740 La
```

4.
Compound: LaMo2Rh
Source: the Alexandria database
Functional: PBE
Structure: relaxed

Properties
SG: R-3m, No. 166
D(E_F), states/eV/cell: 6.42

The structure in POSCAR format:
```
LaMo2Rh
1.0
-7.372 -3.151 -6.457
-5.590 -5.416 -6.736
-7.514 -5.346 -4.573
Rh Mo La
1 2 1
direct
0.250 0.250 0.250 Rh
0.988 0.988 0.988 Mo
0.512 0.512 0.512 Mo
0.750 0.750 0.750 La
```

Going by the computed energies, the most stable comes first: 3, 2, 1, 4.